Record 1
This record from Alexandria via LeMat-Bulk describes a crystal of CaTc2Os relaxed with PBEsol. The functional is SCAN.

Its raw total energy is -149.2 eV/cell. As for the formation energy from the elements: 0.615 eV per atom. The crystal system is orthorhombic. The value obtained for the excess energy over the best structure of this formula in the dataset is 202 meV/atom.

Cell: 2.7214 2.7214 9.3321 Å, 90.00 90.00 114.22°
Positions (direct):
Ca 0.0000 0.0000 0.0000
Tc 0.0000 0.0000 0.4994
Tc 0.5000 0.5000 0.2738
Os 0.5000 0.5000 0.7337



Record 2
This record from Alexandria via LeMat-Bulk describes a crystal of Ca3TcOs relaxed with PBEsol. The functional is SCAN.

Its raw total energy is -130.4 eV/cell. As for the formation energy from the elements: 1.096 eV per atom. The crystal system is cubic.

Cell: 5.3079 5.3079 5.3079 Å, 90.00 90.00 90.00°
Positions (direct):
Ca 0.0000 0.0000 0.5000
Ca 0.0000 0.5000 0.0000
Ca 0.5000 0.0000 0.0000
Tc 0.5000 0.5000 0.5000
Os 0.0000 0.0000 0.0000



Record 3
This record from Alexandria via LeMat-Bulk describes a crystal of CaTcOs relaxed with PBEsol. The functional is SCAN.

Its raw total energy is -115.6 eV/cell. As for the formation energy from the elements: 0.324 eV per atom. The crystal system is orthorhombic. The value obtained for the excess energy over the best structure of this formula in the dataset is 0 meV/atom.

Cell: 5.8684 5.8684 5.8684 Å, 152.18 142.89 47.01°
Positions (direct):
Ca 0.0000 0.0000 0.0000
Tc 0.2904 0.2904 0.0000
Os 0.7033 0.7033 0.0000



Record 4
This record from Alexandria via LeMat-Bulk describes a crystal of CaTeOs2 relaxed with PBEsol. The functional is SCAN.

The calculation puts the uncorrected formation energy at 3.0 eV per formula unit. Its raw total energy is -187.7 eV/cell. The crystal system is tetragonal.

Cell: 5.2729 5.2729 5.2729 Å, 135.36 135.36 64.96°
Positions (direct):
Ca 0.0000 0.0000 0.0000
Te 0.5000 0.5000 0.0000
Os 0.2500 0.7500 0.5000
Os 0.7500 0.2500 0.5000



Record 5
This record from Alexandria via LeMat-Bulk describes a crystal of Ca2TeOs relaxed with PBEsol. The functional is SCAN.

The calculation puts the uncorrected formation energy at -0.8 eV per formula unit. Its raw total energy is -129.2 eV/cell. The crystal system is tetragonal.

Cell: 3.7687 3.7687 6.3180 Å, 90.00 90.00 90.00°
Positions (direct):
Ca 0.0000 0.0000 0.2349
Ca 0.0000 0.0000 0.7651
Te 0.5000 0.5000 0.5000
Os 0.5000 0.5000 0.0000



Record 6
This record from Alexandria via LeMat-Bulk describes a crystal of CaTeOs2 relaxed with PBEsol. The functional is SCAN.

The calculation puts the uncorrected formation energy at 2.9 eV per formula unit. Its raw total energy is -187.8 eV/cell. The crystal system is orthorhombic.

Cell: 3.0056 4.7759 5.0279 Å, 90.00 90.00 90.00°
Positions (direct):
Ca 0.0000 0.0000 0.0000
Te 0.5000 0.5000 0.0000
Os 0.0000 0.5000 0.5000
Os 0.5000 0.0000 0.5000



Record 7
This record from Alexandria via LeMat-Bulk describes a crystal of CaTeOs2 relaxed with PBEsol. The functional is SCAN.

The calculation puts the uncorrected formation energy at 2.5 eV per formula unit. Its raw total energy is -188.1 eV/cell. The crystal system is tetragonal.

Cell: 5.2088 5.2088 5.2088 Å, 135.05 135.05 65.46°
Positions (direct):
Ca 0.0000 0.0000 0.0000
Te 0.2500 0.7500 0.5000
Os 0.5000 0.5000 0.0000
Os 0.7500 0.2500 0.5000



Record 8
This record from Alexandria via LeMat-Bulk describes a crystal of CaTeOs2 relaxed with PBEsol. The functional is SCAN.

The calculation puts the uncorrected formation energy at 2.5 eV per formula unit. Its raw total energy is -188.2 eV/cell. The crystal system is tetragonal.

Cell: 3.2318 3.2318 6.9374 Å, 90.00 90.00 90.00°
Positions (direct):
Ca 0.0000 0.0000 0.0000
Te 0.0000 0.0000 0.5000
Os 0.5000 0.5000 0.2826
Os 0.5000 0.5000 0.7174



Record 9
This record from Alexandria via LeMat-Bulk describes a crystal of CaTeOs2 relaxed with PBEsol. The functional is SCAN.

The calculation puts the uncorrected formation energy at 3.6 eV per formula unit. Its raw total energy is -187.1 eV/cell. The crystal system is trigonal.

Cell: 9.0580 9.0580 9.0580 Å, 19.70 19.70 19.70°
Positions (direct):
Ca 0.0000 0.0000 0.0000
Te 0.5000 0.5000 0.5000
Os 0.2425 0.2425 0.2425
Os 0.7575 0.7575 0.7575



Record 10
This record from Alexandria via LeMat-Bulk describes a crystal of CaTeOs4 relaxed with PBEsol. The functional is SCAN.

The calculation puts the uncorrected formation energy at 3.4 eV per formula unit. Its raw total energy is -331.1 eV/cell. The crystal system is cubic.

Cell: 5.2843 5.2843 5.2843 Å, 60.00 60.00 60.00°
Positions (direct):
Ca 0.0000 0.0000 0.0000
Te 0.2500 0.2500 0.2500
Os 0.1256 0.6248 0.6248
Os 0.6248 0.1256 0.6248
Os 0.6248 0.6248 0.1256
Os 0.6248 0.6248 0.6248



Record 11
This record from Alexandria via LeMat-Bulk describes a crystal of CaOsW2 relaxed with PBEsol. The functional is SCAN.

Its raw total energy is -218.6 eV/cell. As for the formation energy from the elements: 0.581 eV per atom. The crystal system is orthorhombic.

Cell: 2.7724 2.7724 9.3711 Å, 90.00 90.00 109.71°
Positions (direct):
Ca 0.0000 0.0000 0.0000
Os 0.5000 0.5000 0.7388
W 0.0000 0.0000 0.5161
W 0.5000 0.5000 0.2861



Record 12
This record from Alexandria via LeMat-Bulk describes a crystal of CaY2Os relaxed with PBEsol. The functional is SCAN.

Its raw total energy is -138.1 eV/cell. As for the formation energy from the elements: -0.223 eV per atom. The crystal system is tetragonal. The value obtained for the excess energy over the best structure of this formula in the dataset is 0 meV/atom.

Cell: 3.3922 3.3922 9.5105 Å, 90.00 90.00 90.00°
Positions (direct):
Ca 0.0000 0.0000 0.0000
Y 0.5000 0.5000 0.3288
Y 0.5000 0.5000 0.6712
Os 0.0000 0.0000 0.5000



Volume (Å³ per cell)
63.0; 149.5; 56.7; 71.3; 89.7; 72.2; 69.5; 72.5; 73.9; 104.3; 67.8; 109.4